Record 1
Density functional theory data (PBE-GGA) for Cs2NaVSe4 after structural relaxation.

## Properties
mass density = 3.54 Mg/m³
symmetry = Fddd
ΔE_f (raw) = -1.01 eV/atom

Cell: 6.6235 7.9162 13.3473 Å, 84.04 75.63 65.27°
Element x y z (fractional)
Cs (0.1798, 0.0000, 0.6404)
Cs (0.8202, 0.0000, 0.3596)
Cs (0.5702, 0.5000, 0.8596)
Cs (0.9298, 0.5000, 0.1404)
Na (0.7500, 0.5000, 0.5000)
Na (0.0000, 0.0000, 0.0000)
V (0.2500, 0.5000, 0.5000)
V (0.5000, 0.0000, 0.0000)
Se (0.3485, 0.8105, 0.1046)
Se (0.2636, 0.1895, 0.8954)
Se (0.8410, 0.8105, 0.8954)
Se (0.5469, 0.1895, 0.1046)
Se (0.4015, 0.6895, 0.3954)
Se (0.4864, 0.3105, 0.6046)
Se (0.9090, 0.6895, 0.6046)
Se (0.2031, 0.3105, 0.3954)

---

Record 2
Density functional theory data (PBE-GGA) for YTlTe2 after structural relaxation.

## Properties
mass density = 6.82 Mg/m³
symmetry = Pnma
ΔE_f (raw) = -0.96 eV/atom

Cell: 8.1137 8.1982 8.0294 Å, 90.00 90.00 90.00°
Element x y z (fractional)
Y (0.8826, 0.8939, 0.8125)
Y (0.1174, 0.1061, 0.3125)
Y (0.6174, 0.3939, 0.3125)
Y (0.3826, 0.6061, 0.8125)
Tl (0.0370, 0.5620, 0.3123)
Tl (0.9630, 0.4380, 0.8123)
Tl (0.4630, 0.0620, 0.8123)
Tl (0.5370, 0.9380, 0.3123)
Te (0.1754, 0.8271, 0.0521)
Te (0.8246, 0.1729, 0.5521)
Te (0.3246, 0.3271, 0.5521)
Te (0.6754, 0.6729, 0.0521)
Te (0.1754, 0.8270, 0.5729)
Te (0.8246, 0.1730, 0.0729)
Te (0.3246, 0.3270, 0.0729)
Te (0.6754, 0.6730, 0.5729)

---

Record 3
Density functional theory data (PBE-GGA) for TcMoIr6 after structural relaxation.

## Properties
ΔE_f = -0.190 eV/atom
mass density = 19.17 Mg/m³
symmetry = P4/mmm

Cell: 3.8816 5.4838 5.4838 Å, 90.00 90.00 90.00°
Element x y z (fractional)
Tc (0.5000, 0.0000, 0.0000)
Mo (0.5000, 0.5000, 0.5000)
Ir (0.5000, 0.0000, 0.5000)
Ir (0.5000, 0.5000, 0.0000)
Ir (0.0000, 0.2491, 0.2491)
Ir (0.0000, 0.7509, 0.7509)
Ir (0.0000, 0.7510, 0.2490)
Ir (0.0000, 0.2490, 0.7510)

---

Record 4
Density functional theory data (PBE-GGA) for BeP2W after structural relaxation.

## Properties
ΔE_f = 0.670 eV/atom
mass density = 8.25 Mg/m³
symmetry = F-43m

Cell: 4.1703 4.1703 4.1703 Å, 60.00 60.00 60.00°
Element x y z (fractional)
P (0.0000, 0.0000, 0.0000)
P (0.2500, 0.2500, 0.2500)
W (0.7500, 0.7500, 0.7500)
Be (0.5000, 0.5000, 0.5000)